#i
First-principles (GGA-PBE) data for crystalline KSr2CaZn at its relaxed geometry, as listed in the Alexandria database.

Cell lengths 6.303, 6.303, 6.086 Å; angles 90.00, 90.00, 90.00 degrees
Positions (direct):
1 K 0.500 0.500 0.500
2 Zn 0.000 0.000 0.000
3 Ca 0.000 0.000 0.500
4 Sr 0.000 0.500 0.000
5 Sr 0.500 0.000 0.000

Computed properties:
SG: P4/mmm
Magnetic moment, μB/cell: 0.000



#ii
First-principles (GGA-PBE) data for crystalline KSr2CaZn at its relaxed geometry, as listed in the Alexandria database.

Cell lengths 6.258, 6.377, 6.258 Å; angles 90.00, 90.00, 90.00 degrees
Positions (direct):
1 Ca 0.500 0.500 0.500
2 Zn 0.000 0.000 0.000
3 K 0.000 0.500 0.000
4 Sr 0.500 0.000 0.000
5 Sr 0.000 0.000 0.500

Computed properties:
SG: P4/mmm
Magnetic moment, μB/cell: 0.000



Most stable: #i



#i
First-principles (GGA-PBE) data for crystalline K3CaTa at its relaxed geometry, as listed in the Alexandria database.

Cell lengths 6.970, 6.970, 6.970 Å; angles 90.00, 90.00, 90.00 degrees
Last column: magnetic moment on the atom in μB.
Positions (direct):
1 K 0.000 0.500 0.000  0.01
2 K 0.000 0.000 0.500  0.01
3 Ca 0.000 0.000 0.000  0.07
4 K 0.500 0.000 0.000  0.01
5 Ta 0.500 0.500 0.500  2.33

Computed properties:
SG: Pm-3m
Magnetic moment, μB/cell: 4.536



#ii
First-principles (GGA-PBE) data for crystalline K3CaTa at its relaxed geometry, as listed in the Alexandria database.

Cell lengths 6.736, 6.736, 6.736 Å; angles 90.00, 90.00, 90.00 degrees
Last column: magnetic moment on the atom in μB.
Positions (direct):
1 K 0.500 0.000 0.000  0.05
2 K 0.000 0.000 0.500  0.05
3 K 0.000 0.500 0.000  0.06
4 Ca 0.500 0.500 0.500  0.04
5 Ta 0.000 0.000 0.000  2.50

Computed properties:
SG: Pm-3m
Magnetic moment, μB/cell: 5.675



Most stable: #ii



#i
First-principles (GGA-PBE) data for crystalline KCa3Ta at its relaxed geometry, as listed in the Alexandria database.

Cell lengths 5.454, 5.454, 5.454 Å; angles 90.00, 90.00, 90.00 degrees
Positions (direct):
1 Ta 0.500 0.500 0.500
2 Ca 0.000 0.000 0.500
3 K 0.000 0.000 0.000
4 Ca 0.000 0.500 0.000
5 Ca 0.500 0.000 0.000

Computed properties:
SG: Pm-3m
Magnetic moment, μB/cell: 0.000



#ii
First-principles (GGA-PBE) data for crystalline KCa3Ta at its relaxed geometry, as listed in the Alexandria database.

Cell lengths 5.900, 5.900, 5.900 Å; angles 90.00, 90.00, 90.00 degrees
Last column: magnetic moment on the atom in μB.
Positions (direct):
1 Ca 0.000 0.500 0.000  0.00
2 Ca 0.000 0.000 0.500  0.01
3 Ta 0.000 0.000 0.000  0.06
4 Ca 0.500 0.000 0.000  0.00
5 K 0.500 0.500 0.500  0.00

Computed properties:
SG: Pm-3m
Magnetic moment, μB/cell: 0.114



Most stable: #ii



#i
First-principles (GGA-PBE) data for crystalline KCaTa3 at its relaxed geometry, as listed in the Alexandria database.

Cell lengths 4.854, 4.854, 4.854 Å; angles 90.00, 90.00, 90.00 degrees
Positions (direct):
1 Ta 0.000 0.500 0.000
2 Ta 0.000 0.000 0.500
3 Ca 0.500 0.500 0.500
4 K 0.000 0.000 0.000
5 Ta 0.500 0.000 0.000

Computed properties:
SG: Pm-3m
Magnetic moment, μB/cell: 0.031



#ii
First-principles (GGA-PBE) data for crystalline KCaTa3 at its relaxed geometry, as listed in the Alexandria database.

Cell lengths 5.080, 5.080, 5.080 Å; angles 90.00, 90.00, 90.00 degrees
Last column: magnetic moment on the atom in μB.
Positions (direct):
1 Ta 0.500 0.000 0.000  0.29
2 Ca 0.000 0.000 0.000  0.10
3 Ta 0.000 0.500 0.000  0.24
4 K 0.500 0.500 0.500  0.01
5 Ta 0.000 0.000 0.500  0.21

Computed properties:
SG: Pm-3m
Magnetic moment, μB/cell: 1.312



Most stable: #i



#i
First-principles (GGA-PBE) data for crystalline KCaTc2 at its relaxed geometry, as listed in the Alexandria database.

Cell lengths 6.117, 6.117, 6.117 Å; angles 144.87, 126.10, 65.98 degrees
Positions (direct):
1 K 0.223 0.723 0.500
2 Tc 0.947 0.947 0.000
3 Ca 0.516 0.516 0.000
4 Tc 0.815 0.315 0.500

Computed properties:
SG: Imm2
Magnetic moment, μB/cell: 0.000



#ii
First-principles (GGA-PBE) data for crystalline KCaTc2 at its relaxed geometry, as listed in the Alexandria database.

Cell lengths 3.829, 3.836, 5.361 Å; angles 90.00, 90.00, 90.00 degrees
Positions (direct):
1 Ca 0.500 0.000 0.500
2 Tc 0.000 0.000 0.000
3 Tc 0.500 0.500 0.000
4 K 0.000 0.500 0.500

Computed properties:
SG: P4/mmm
Magnetic moment, μB/cell: 0.000



Most stable: #i



#i
First-principles (GGA-PBE) data for crystalline KCaTc2 at its relaxed geometry, as listed in the Alexandria database.

Cell lengths 11.124, 11.124, 11.124 Å; angles 15.12, 15.12, 15.12 degrees
Last column: magnetic moment on the atom in μB.
Positions (direct):
1 Tc 0.994 0.994 0.994  0.39
2 K 0.750 0.750 0.750  0.00
3 Tc 0.506 0.506 0.506  0.39
4 Ca 0.250 0.250 0.250  -0.02

Computed properties:
SG: R-3m
Magnetic moment, μB/cell: 0.913



#ii
First-principles (GGA-PBE) data for crystalline KCaTc2 at its relaxed geometry, as listed in the Alexandria database.

Cell lengths 5.189, 5.189, 5.189 Å; angles 60.00, 60.00, 60.00 degrees
Last column: magnetic moment on the atom in μB.
Positions (direct):
1 Tc 0.750 0.750 0.750  2.42
2 Ca 0.500 0.500 0.500  0.01
3 K 0.000 0.000 0.000  0.02
4 Tc 0.250 0.250 0.250  2.42

Computed properties:
SG: Fm-3m
Magnetic moment, μB/cell: 5.584



#iii
First-principles (GGA-PBE) data for crystalline KCaTc2 at its relaxed geometry, as listed in the Alexandria database.

Cell lengths 6.005, 6.005, 2.754 Å; angles 90.04, 90.04, 127.25 degrees
Positions (direct):
1 Tc 0.000 0.000 0.000
2 Ca 0.500 0.000 0.500
3 Tc 0.500 0.500 0.000
4 K 0.000 0.500 0.500

Computed properties:
SG: C2/m
Magnetic moment, μB/cell: 0.000



Most stable: #iii



#i
First-principles (GGA-PBE) data for crystalline KCa2Tc at its relaxed geometry, as listed in the Alexandria database.

Cell lengths 6.103, 6.103, 6.103 Å; angles 131.21, 131.21, 71.47 degrees
Last column: magnetic moment on the atom in μB.
Positions (direct):
1 Tc 0.750 0.250 0.500  2.12
2 Ca 0.250 0.750 0.500  -0.07
3 Ca 0.000 0.000 0.000  -0.05
4 K 0.500 0.500 0.000  -0.01

Computed properties:
SG: I-4m2
Magnetic moment, μB/cell: 2.040



#ii
First-principles (GGA-PBE) data for crystalline KCa2Tc at its relaxed geometry, as listed in the Alexandria database.

Cell lengths 12.140, 12.140, 12.140 Å; angles 17.12, 17.12, 17.12 degrees
Last column: magnetic moment on the atom in μB.
Positions (direct):
1 K 0.250 0.250 0.250  0.00
2 Tc 0.750 0.750 0.750  0.51
3 Ca 0.026 0.026 0.026  0.00
4 Ca 0.474 0.474 0.474  0.00

Computed properties:
SG: R-3m
Magnetic moment, μB/cell: 0.521



Most stable: #ii